CeNdSm: optimized geometry, PBE.

Total DFT energy (no corrections) in eV/atom: -5.0654
E_form in eV/atom: 0.075
Magnetic moment in Bohr magnetons per cell: 0.44
DOS(E_F) in states/eV/f.u.: 6.55

abc: 3.5738 3.5738 8.7969
angles: 90.00 90.00 120.00
Space group P3m1 (No. 156)
Asymmetric unit:
Ce 0.0000 0.0000 0.0000
Nd 0.6667 0.3333 0.3251
Sm 0.3333 0.6667 0.6783